This record from the Alexandria database describes KLa2Fe after structural relaxation. The functional is GGA-PBE.

a b c (Å): 4.1273 4.1273 10.7271
angles (deg): 79.07 79.07 59.99
Element x y z (fractional)
1 Fe 0.3702 0.3702 0.7532
2 K 0.2708 0.2708 0.2484
3 La 0.0671 0.0671 0.8851
4 La 0.7919 0.7919 0.6132

Space-group type   Cm (8)
Magnetic moment   0.000 μB/atom
DOS(E_F)   0.82 states/eV/atom
Uncorrected energy   -18.78 eV for the cell shown
DFT formation energy   159.7 meV/atom